1.
# InAg2BrN | Alexandria via LeMat-Bulk | SCAN | PBEsol geometry
data_InAg2BrN
_chemical_formula_sum 'In1 Ag2 Br1 N1'
_space_group_name_H-M_alt 'P 1'
_space_group_IT_number 1
_space_group_name_Hall 'P 1'
_cell_length_a 4.459
_cell_length_b 4.459
_cell_length_c 4.713
_cell_angle_alpha 90.00
_cell_angle_beta 90.00
_cell_angle_gamma 90.00
loop_
_atom_site_label
_atom_site_type_symbol
_atom_site_fract_x
_atom_site_fract_y
_atom_site_fract_z
In1 In 0.000 0.000 0.000
Ag1 Ag 0.000 0.500 0.500
Ag2 Ag 0.500 0.000 0.500
Br1 Br 0.500 0.500 0.000
N1 N 0.000 0.000 0.500
# E_tot: -24.707 eV per atom
# Formation energy without anion corrections: 0.2674 eV/atom
# Space group: No. 123



2.
# InAgSnBr2 | Alexandria via LeMat-Bulk | SCAN | PBEsol geometry
data_InAgSnBr2
_chemical_formula_sum 'In1 Ag1 Sn1 Br2'
_space_group_name_H-M_alt 'P 1'
_space_group_IT_number 1
_space_group_name_Hall 'P 1'
_cell_length_a 5.698
_cell_length_b 5.698
_cell_length_c 5.189
_cell_angle_alpha 90.00
_cell_angle_beta 90.00
_cell_angle_gamma 90.00
loop_
_atom_site_label
_atom_site_type_symbol
_atom_site_fract_x
_atom_site_fract_y
_atom_site_fract_z
In1 In 0.000 0.000 0.000
Ag1 Ag 0.500 0.500 0.000
Sn1 Sn 0.500 0.500 0.500
Br1 Br 0.000 0.500 0.500
Br2 Br 0.500 0.000 0.500
# E_tot: -28.102 eV per atom
# Formation energy without anion corrections: -0.1835 eV/atom
# Space group: No. 123